1.
First-principles (PBE) data for a relaxed CaSc2Cu crystal, as listed in the Alexandria database.

Values from the calculation:
crystal system	trigonal
symmetry	R-3m (166)
formation energy	133	meV per atom

a b c (Å): 9.7787 9.7787 9.7787
angles (deg): 20.91 20.91 20.91
Last column: nearest neighbours and their distance in Å.
Fractional coordinates of all 4 atoms:
1 Sc 0.0235 0.0235 0.0235  3 Cu 2.67
2 Sc 0.4765 0.4765 0.4765  3 Cu 2.67
3 Ca 0.2500 0.2500 0.2500  6 Ca 3.55, 6 Sc 3.69
4 Cu 0.7500 0.7500 0.7500  6 Sc 2.67

***

2.
First-principles (PBE) data for a relaxed LiAlCdCl6 crystal, as listed in the Alexandria database.

Values from the calculation:
crystal system	trigonal
symmetry	P312 (149)
raw formation energy	-1.389	eV/atom

a b c (Å): 5.8788 6.3969 6.3969
angles (deg): 120.00 90.00 90.00
Last column: nearest neighbours and their distance in Å.
Fractional coordinates of all 9 atoms:
1 Li 0.0000 0.3333 0.6667  6 Cl 2.74
2 Al 0.5000 0.0000 0.0000  6 Cl 2.36
3 Cd 0.5000 0.6667 0.3333  6 Cl 2.64
4 Cl 0.7343 0.7005 0.7011  1 Al 2.36, 1 Cd 2.64
5 Cl 0.7343 0.2989 0.9995  1 Al 2.36, 1 Cd 2.64
6 Cl 0.7343 0.0005 0.2995  1 Al 2.36, 1 Cd 2.64
7 Cl 0.2656 0.2989 0.2995  1 Al 2.36, 1 Cd 2.64
8 Cl 0.2656 0.7005 0.9995  1 Al 2.36, 1 Cd 2.64
9 Cl 0.2656 0.0005 0.7011  1 Al 2.36, 1 Cd 2.64

***

3.
First-principles (PBE) data for a relaxed CdRu crystal, as listed in the Alexandria database.

Values from the calculation:
crystal system	tetragonal
symmetry	P4/nmm (129)
formation energy	114	meV per atom

a b c (Å): 2.8835 2.8833 8.3036
angles (deg): 90.00 90.00 90.00
Last column: nearest neighbours and their distance in Å.
Fractional coordinates of all 4 atoms:
1 Cd 0.0000 0.0000 0.0275  4 Cd 2.88, 4 Ru 2.93
2 Cd 0.5000 0.5000 0.7225  4 Cd 2.88, 4 Ru 2.93
3 Ru 0.0000 0.0000 0.4696  6 Ru 2.57-2.88
4 Ru 0.5000 0.5000 0.2804  6 Ru 2.57-2.88

***

4.
First-principles (PBE) data for a relaxed ErThNiOs crystal, as listed in the Alexandria database.

Values from the calculation:
crystal system	cubic
symmetry	F-43m (216)
formation energy	-326	meV per atom

a b c (Å): 4.8943 4.8943 4.8943
angles (deg): 60.00 60.00 60.00
Last column: nearest neighbours and their distance in Å.
Fractional coordinates of all 4 atoms:
1 Ni 0.7500 0.7500 0.7500  4 Er 3.00, 4 Th 3.00
2 Os 0.2500 0.2500 0.2500  4 Th 3.00, 4 Er 3.00
3 Th 0.5000 0.5000 0.5000  4 Os 3.00, 4 Ni 3.00
4 Er 0.0000 0.0000 0.0000  4 Os 3.00, 4 Ni 3.00

***

5.
First-principles (PBE) data for a relaxed SrLaFe2 crystal, as listed in the Alexandria database.

Values from the calculation:
crystal system	cubic
symmetry	F-43m (216)
formation energy	725	meV per atom

a b c (Å): 5.0077 5.0077 5.0077
angles (deg): 60.00 60.00 60.00
Last column: nearest neighbours and their distance in Å.
Fractional coordinates of all 4 atoms:
1 Fe 0.0000 0.0000 0.0000  4 Fe 3.07, 4 Sr 3.07
2 Fe 0.2500 0.2500 0.2500  4 La 3.07, 4 Fe 3.07
3 La 0.5000 0.5000 0.5000  4 Fe 3.07, 4 Sr 3.07
4 Sr 0.7500 0.7500 0.7500  4 La 3.07, 4 Fe 3.07

***

6.
First-principles (PBE) data for a relaxed ScMnCoP2 crystal, as listed in the Alexandria database.

Values from the calculation:
crystal system	tetragonal
symmetry	I-4m2 (119)
formation energy	-953	meV per atom

a b c (Å): 3.7678 3.7678 5.3103
angles (deg): 110.78 110.78 90.00
Last column: nearest neighbours and their distance in Å.
Fractional coordinates of all 5 atoms:
1 Sc 0.0000 0.0000 0.0000  8 P 2.90, 4 Co 2.97, 4 Mn 2.97
2 Mn 0.2500 0.7500 0.5000  4 P 2.20
3 Co 0.7500 0.2500 0.5000  4 P 2.20
4 P 0.6256 0.6256 0.2512  2 Co 2.20, 2 Mn 2.20, 1 P 2.31
5 P 0.3744 0.3744 0.7488  2 Mn 2.20, 2 Co 2.20, 1 P 2.31

***

7.
First-principles (PBE) data for a relaxed Dy6In2Ru crystal, as listed in the Alexandria database.

Values from the calculation:
crystal system	orthorhombic
symmetry	Amm2 (38)
energy above the most stable polymorph in this dataset	0	meV/atom
formation energy	-357	meV per atom

a b c (Å): 3.8591 8.6024 8.5890
angles (deg): 120.05 90.00 90.00
Last column: nearest neighbours and their distance in Å.
Fractional coordinates of all 9 atoms:
1 Dy 0.5000 0.6085 0.0000  4 In 3.28, 1 Ru 3.39, 4 Dy 3.51
2 Dy 0.5000 0.3891 0.3896  4 In 3.28-3.29, 1 Ru 3.33, 4 Dy 3.51
3 Dy 0.5000 0.9995 0.6104  4 In 3.28-3.29, 1 Ru 3.33, 4 Dy 3.51
4 Dy 0.0000 0.2434 0.0000  2 Ru 2.83
5 Dy 0.0000 0.7583 0.7594  2 Ru 2.84
6 Dy 0.0000 0.9988 0.2406  2 Ru 2.84
7 In 0.0000 0.3325 0.6658  9 Dy 3.28-3.33
8 In 0.0000 0.6668 0.3342  9 Dy 3.28-3.33
9 Ru 0.5000 0.0031 0.0000  6 Dy 2.83-2.84

***

8.
First-principles (PBE) data for a relaxed Ba2PmP2I2 crystal, as listed in the Alexandria database.

Values from the calculation:
crystal system	tetragonal
symmetry	I4/mmm (139)
raw formation energy	-1.307	eV/atom

a b c (Å): 5.4539 5.4539 9.7498
angles (deg): 106.24 106.24 90.00
Last column: nearest neighbours and their distance in Å.
Fractional coordinates of all 7 atoms:
1 Ba 0.3862 0.3862 0.7725  4 P 3.40, 1 I 3.63
2 Ba 0.6138 0.6138 0.2275  4 P 3.40, 1 I 3.63
3 Pm 0.0000 0.0000 0.0000  4 P 2.73
4 P 0.0000 0.5000 0.0000  2 Pm 2.73
5 P 0.5000 0.0000 0.0000  2 Pm 2.73
6 I 0.1833 0.1833 0.3666  1 Pm 3.28, 1 Ba 3.63
7 I 0.8167 0.8167 0.6334  1 Pm 3.28, 1 Ba 3.63

***

9.
First-principles (PBE) data for a relaxed Th8SiTe4S3 crystal, as listed in the Alexandria database.

Values from the calculation:
crystal system	trigonal
symmetry	R-3m (166)
raw formation energy	-1.331	eV/atom

a b c (Å): 8.3406 8.8335 8.3406
angles (deg): 118.17 120.00 90.00
Last column: nearest neighbours and their distance in Å.
Fractional coordinates of all 16 atoms:
1 Th 0.2388 0.7101 0.9713  2 S 2.85, 1 Si 2.89
2 Th 0.2388 0.7108 0.4776  2 S 2.86, 1 Si 2.89
3 Th 0.2640 0.2919 0.5279  3 S 2.86
4 Th 0.7325 0.7101 0.9713  2 S 2.85, 1 Si 2.89
5 Th 0.2675 0.2899 0.0287  2 S 2.85, 1 Si 2.89
6 Th 0.7360 0.7081 0.4721  3 S 2.86
7 Th 0.7612 0.2892 0.5224  2 S 2.86, 1 Si 2.89
8 Th 0.7612 0.2899 0.0287  2 S 2.85, 1 Si 2.89
9 Si 0.0000 0.5000 0.0000  6 Th 2.89
10 Te 0.5000 0.0000 0.0000  6 Th 3.20
11 Te 0.5000 0.0000 0.5000  6 Th 3.23-3.24
12 Te 0.0000 0.0000 0.0000  6 Th 3.24
13 Te 0.0000 0.0000 0.5000  6 Th 3.23-3.24
14 S 0.5000 0.5000 0.0000  6 Th 2.85-2.86
15 S 0.5000 0.5000 0.5000  6 Th 2.85-2.86
16 S 0.0000 0.5000 0.5000  6 Th 2.85-2.86

***

10.
First-principles (PBE) data for a relaxed LiAcSnRh crystal, as listed in the Alexandria database.

Values from the calculation:
crystal system	cubic
symmetry	F-43m (216)
energy above the most stable polymorph in this dataset	91	meV/atom
formation energy	-500	meV per atom

a b c (Å): 5.0071 5.0071 5.0071
angles (deg): 60.00 60.00 60.00
Last column: nearest neighbours and their distance in Å.
Fractional coordinates of all 4 atoms:
1 Ac 0.5000 0.5000 0.5000  4 Rh 3.07, 4 Li 3.07
2 Rh 0.7500 0.7500 0.7500  4 Ac 3.07, 4 Sn 3.07
3 Sn 0.0000 0.0000 0.0000  4 Li 3.07, 4 Rh 3.07
4 Li 0.2500 0.2500 0.2500  4 Ac 3.07, 4 Sn 3.07

***

11.
First-principles (PBE) data for a relaxed SrLaPmTl crystal, as listed in the Alexandria database.

Values from the calculation:
crystal system	cubic
symmetry	F-43m (216)
formation energy	31	meV per atom

a b c (Å): 5.8233 5.8233 5.8233
angles (deg): 60.00 60.00 60.00
Last column: nearest neighbours and their distance in Å.
Fractional coordinates of all 4 atoms:
1 Sr 0.7500 0.7500 0.7500  4 Pm 3.57, 4 Tl 3.57
2 Tl 0.0000 0.0000 0.0000  4 La 3.57, 4 Sr 3.57
3 La 0.2500 0.2500 0.2500  4 Tl 3.57, 4 Pm 3.57
4 Pm 0.5000 0.5000 0.5000  4 Sr 3.57, 4 La 3.57

***

12.
First-principles (PBE) data for a relaxed LiPu2Bi3 crystal, as listed in the Alexandria database.

Values from the calculation:
crystal system	tetragonal
symmetry	P4/mmm (123)
formation energy	-346	meV per atom

a b c (Å): 3.4999 3.4999 13.5398
angles (deg): 90.00 90.00 90.00
Last column: nearest neighbours and their distance in Å.
Fractional coordinates of all 6 atoms:
1 Li 0.5000 0.5000 0.5000  8 Bi 3.24, 4 Li 3.50
2 Pu 0.5000 0.5000 0.8288  8 Bi 3.39-3.42, 4 Pu 3.50
3 Pu 0.5000 0.5000 0.1712  8 Bi 3.39-3.42, 4 Pu 3.50
4 Bi 0.0000 0.0000 0.0000  8 Pu 3.39, 4 Bi 3.50
5 Bi 0.0000 0.0000 0.6547  4 Li 3.24, 4 Pu 3.42, 4 Bi 3.50
6 Bi 0.0000 0.0000 0.3453  4 Li 3.24, 4 Pu 3.42, 4 Bi 3.50

***

13.
First-principles (PBE) data for a relaxed HgMoRh2 crystal, as listed in the Alexandria database.

Values from the calculation:
crystal system	tetragonal
symmetry	P4mm (99)
formation energy	206	meV per atom

a b c (Å): 2.8333 2.8333 8.0324
angles (deg): 90.00 90.00 90.02
Last column: nearest neighbours and their distance in Å.
Fractional coordinates of all 4 atoms:
1 Hg 0.0000 0.0000 0.4938  4 Hg 2.83, 4 Rh 2.88, 4 Mo 3.02
2 Mo 0.5000 0.5000 0.7754  4 Rh 2.67, 4 Mo 2.83
3 Rh 0.0000 0.0000 0.9949  4 Mo 2.67, 8 Rh 2.79-2.83
4 Rh 0.5000 0.5000 0.2359  8 Rh 2.79-2.83, 4 Hg 2.88

***

14.
First-principles (PBE) data for a relaxed RbVTc2 crystal, as listed in the Alexandria database.

Values from the calculation:
crystal system	tetragonal
symmetry	I4_1/amd (141)
formation energy	1554	meV per atom

a b c (Å): 5.0521 5.0521 8.9962
angles (deg): 73.69 73.69 90.00
Last column: nearest neighbours and their distance in Å.
Fractional coordinates of all 8 atoms:
1 Tc 0.3752 0.1250 0.2500  2 V 2.42, 2 Tc 2.53
2 Tc 0.3748 0.6250 0.2500  2 V 2.42, 2 Tc 2.53
3 Tc 0.3750 0.6248 0.7500  2 V 2.42, 2 Tc 2.53
4 Tc 0.8750 0.6252 0.7500  2 V 2.42, 2 Tc 2.53
5 Rb 0.0000 0.0000 0.0000  8 Tc 3.50, 4 V 3.57
6 Rb 0.7500 0.2500 0.5000  8 Tc 3.50, 4 V 3.57
7 V 0.5000 0.5000 0.0000  4 Tc 2.42
8 V 0.2500 0.7500 0.5000  4 Tc 2.42

***

15.
First-principles (PBE) data for a relaxed ErHfMn17 crystal, as listed in the Alexandria database.

Values from the calculation:
crystal system	trigonal
symmetry	R3m (160)
formation energy	-4	meV per atom

a b c (Å): 6.2236 6.2236 6.2236
angles (deg): 81.70 81.70 81.70
Last column: nearest neighbours and their distance in Å.
Fractional coordinates of all 19 atoms:
1 Er 0.6561 0.6561 0.6561  19 Mn 2.91-3.21
2 Hf 0.3455 0.3455 0.3455  16 Mn 2.86-3.12
3 Mn 0.2930 0.0045 0.7021  8 Mn 2.35-2.55
4 Mn 0.7021 0.2930 0.0045  8 Mn 2.35-2.55
5 Mn 0.0045 0.7021 0.2930  8 Mn 2.35-2.55
6 Mn 0.2930 0.7021 0.0045  8 Mn 2.35-2.55
7 Mn 0.0045 0.2930 0.7021  8 Mn 2.35-2.55
8 Mn 0.7021 0.0045 0.2930  8 Mn 2.35-2.55
9 Mn 0.3426 0.8446 0.3426  9 Mn 2.34-2.56
10 Mn 0.3426 0.3426 0.8446  9 Mn 2.34-2.56
11 Mn 0.8446 0.3426 0.3426  9 Mn 2.34-2.56
12 Mn 0.6578 0.1563 0.6578  9 Mn 2.36-2.56
13 Mn 0.6578 0.6578 0.1563  9 Mn 2.36-2.56
14 Mn 0.1563 0.6578 0.6578  9 Mn 2.36-2.56
15 Mn 0.0006 0.4958 0.0006  10 Mn 2.34-2.55
16 Mn 0.0006 0.0006 0.4958  10 Mn 2.34-2.55
17 Mn 0.4958 0.0006 0.0006  10 Mn 2.34-2.55
18 Mn 0.9088 0.9088 0.9088  1 Mn 2.24
19 Mn 0.0917 0.0917 0.0917  4 Mn 2.24-2.50

***

16.
First-principles (PBE) data for a relaxed NaCaHoSn crystal, as listed in the Alexandria database.

Values from the calculation:
crystal system	cubic
symmetry	F-43m (216)
formation energy	-285	meV per atom

a b c (Å): 5.4074 5.4074 5.4074
angles (deg): 60.00 60.00 60.00
Last column: nearest neighbours and their distance in Å.
Fractional coordinates of all 4 atoms:
1 Na 0.7500 0.7500 0.7500  4 Ho 3.31, 4 Ca 3.31
2 Ca 0.0000 0.0000 0.0000  4 Sn 3.31, 4 Na 3.31
3 Ho 0.5000 0.5000 0.5000  4 Na 3.31, 4 Sn 3.31
4 Sn 0.2500 0.2500 0.2500  4 Ho 3.31, 4 Ca 3.31

***

17.
First-principles (PBE) data for a relaxed Gd2ErSe crystal, as listed in the Alexandria database.

Values from the calculation:
crystal system	trigonal
symmetry	R-3m (166)
energy above the most stable polymorph in this dataset	158	meV/atom
raw formation energy	-0.556	eV/atom

a b c (Å): 3.7282 3.7282 10.6027
angles (deg): 79.87 79.87 60.00
Last column: nearest neighbours and their distance in Å.
Fractional coordinates of all 4 atoms:
1 Gd 0.1077 0.1077 0.6770  3 Se 2.83
2 Gd 0.8923 0.8923 0.3230  3 Se 2.83
3 Se 0.5000 0.5000 0.5000  6 Gd 2.83
4 Er 0.0000 0.0000 0.0000  2 Gd 3.35, 6 Er 3.73

***

18.
First-principles (PBE) data for a relaxed Er5InPd4 crystal, as listed in the Alexandria database.

Values from the calculation:
crystal system	tetragonal
symmetry	P4/mmm (123)
formation energy	-828	meV per atom

a b c (Å): 3.5251 3.5251 17.7742
angles (deg): 90.00 90.00 90.00
Last column: nearest neighbours and their distance in Å.
Fractional coordinates of all 10 atoms:
1 Er 0.5000 0.5000 0.1174  4 Pd 2.98, 4 In 3.25
2 Er 0.5000 0.5000 0.3076  8 Pd 3.02-3.04, 1 Er 3.38
3 Er 0.5000 0.5000 0.5000  8 Pd 3.02
4 Er 0.5000 0.5000 0.6924  8 Pd 3.02-3.04, 1 Er 3.38
5 Er 0.5000 0.5000 0.8826  4 Pd 2.98, 4 In 3.25
6 In 0.0000 0.0000 0.0000  8 Er 3.25, 4 In 3.53
7 Pd 0.0000 0.0000 0.2092  8 Er 2.98-3.04
8 Pd 0.0000 0.0000 0.4038  8 Er 3.02
9 Pd 0.0000 0.0000 0.5962  8 Er 3.02
10 Pd 0.0000 0.0000 0.7908  8 Er 2.98-3.04

***

19.
First-principles (PBE) data for a relaxed Mn2AgW crystal, as listed in the Alexandria database.

Values from the calculation:
crystal system	monoclinic
symmetry	C2/m (12)
energy above the most stable polymorph in this dataset	162	meV/atom
formation energy	486	meV per atom

a b c (Å): 4.5790 4.5790 5.1518
angles (deg): 83.22 83.22 34.60
Last column: nearest neighbours and their distance in Å.
Fractional coordinates of all 4 atoms:
1 Ag 0.7500 0.7500 0.7500  2 Ag 2.72, 6 Mn 2.73-2.80, 4 W 2.91
2 Mn 0.9993 0.9993 0.0218  3 W 2.61-2.71, 4 Mn 2.72, 3 Ag 2.73-2.80
3 Mn 0.5007 0.5007 0.4782  3 W 2.61-2.71, 4 Mn 2.72, 3 Ag 2.73-2.80
4 W 0.2500 0.2500 0.2500  6 Mn 2.61-2.71, 2 W 2.72, 4 Ag 2.91

***

20.
First-principles (PBE) data for a relaxed NaYSbI2 crystal, as listed in the Alexandria database.

Values from the calculation:
crystal system	tetragonal
symmetry	P4/mmm (123)
energy above the most stable polymorph in this dataset	583	meV/atom
raw formation energy	-0.073	eV/atom

a b c (Å): 5.4444 5.4444 6.0654
angles (deg): 90.00 90.00 90.00
Last column: nearest neighbours and their distance in Å.
Fractional coordinates of all 5 atoms:
1 I 0.0000 0.5000 0.0000  2 Na 2.72
2 I 0.5000 0.0000 0.0000  2 Na 2.72
3 Sb 0.0000 0.0000 0.5000  2 Na 3.03
4 Y 0.5000 0.5000 0.5000  4 Sb 3.85, 8 I 4.08
5 Na 0.0000 0.0000 0.0000  4 I 2.72, 2 Sb 3.03

***

Number 1: D(E_F) 5.74 states/eV/cell. Number 2: D(E_F) 0.00 states/eV/cell. Number 3: D(E_F) 2.49 states/eV/cell. Number 4: D(E_F) 3.41 states/eV/cell. Number 5: D(E_F) 6.82 states/eV/cell. Number 6: D(E_F) 2.81 states/eV/cell. Number 7: D(E_F) 9.78 states/eV/cell. Number 8: D(E_F) 3.85 states/eV/cell. Number 9: D(E_F) 12.34 states/eV/cell. Number 10: D(E_F) 5.83 states/eV/cell. Number 11: D(E_F) 6.44 states/eV/cell. Number 12: D(E_F) 14.96 states/eV/cell. Number 13: D(E_F) 4.76 states/eV/cell. Number 14: D(E_F) 10.39 states/eV/cell. Number 15: D(E_F) 27.90 states/eV/cell. Number 16: D(E_F) 2.29 states/eV/cell. Number 17: D(E_F) 5.34 states/eV/cell. Number 18: D(E_F) 6.46 states/eV/cell. Number 19: D(E_F) 3.18 states/eV/cell. Number 20: D(E_F) 1.94 states/eV/cell.